(1)
# Tb3Ga5Co6 | the Alexandria database | GGA-PBE | relaxed
data_Tb3Ga5Co6
_chemical_formula_sum 'Tb6 Ga10 Co12'
_space_group_name_H-M_alt 'P m m n'
_space_group_IT_number 59
_cell_length_a 4.149
_cell_length_b 12.205
_cell_length_c 8.940
_cell_angle_alpha 90.00
_cell_angle_beta 90.00
_cell_angle_gamma 90.00
loop_
_space_group_symop_operation_xyz
'x,y,z'
'-x,-y,-z'
'-x+1/2,-y+1/2,z'
'x+1/2,y+1/2,-z'
'x+1/2,-y,-z'
'-x+1/2,y,z'
'-x,y+1/2,-z'
'x,-y+1/2,z'
loop_
_atom_site_label
_atom_site_type_symbol
_atom_site_fract_x
_atom_site_fract_y
_atom_site_fract_z
Tb1 Tb 0.250 0.070 0.249
Tb2 Tb 0.250 0.750 0.221
Ga1 Ga 0.250 0.088 0.865
Ga2 Ga 0.250 0.636 0.514
Ga3 Ga 0.250 0.750 0.845
Co1 Co 0.250 0.057 0.587
Co2 Co 0.250 0.250 0.019
Co3 Co 0.250 0.250 0.547
Co4 Co 0.250 0.585 0.993
# - crystal system = orthorhombic
# - VASP energy (eV per atom) = -5.50

=====

(2)
# NaTlGe | the Alexandria database | GGA-PBE | relaxed
data_NaTlGe
_chemical_formula_sum 'Na2 Tl2 Ge2'
_space_group_name_H-M_alt 'P 63/m m c'
_space_group_IT_number 194
_space_group_name_Hall '-P 6c 2c'
_cell_length_a 5.1657
_cell_length_b 5.1657
_cell_length_c 6.3297
_cell_angle_alpha 90.00
_cell_angle_beta 90.00
_cell_angle_gamma 120.00
loop_
_atom_site_label
_atom_site_type_symbol
_atom_site_fract_x
_atom_site_fract_y
_atom_site_fract_z
Na1 Na 0.0000 0.0000 0.0000
Tl1 Tl 0.3333 0.6667 0.2500
Ge1 Ge 0.3333 0.6667 0.7500
# - crystal system = hexagonal
# - VASP energy (eV per atom) = -2.70

=====

(3)
# TcAg3Sn | the Alexandria database | GGA-PBE | relaxed
data_TcAg3Sn
_chemical_formula_sum 'Tc1 Ag3 Sn1'
_space_group_name_H-M_alt 'P m -3 m'
_space_group_IT_number 221
_space_group_name_Hall '-P 4 2 3'
_cell_length_a 5.114
_cell_length_b 5.114
_cell_length_c 5.114
_cell_angle_alpha 90.00
_cell_angle_beta 90.00
_cell_angle_gamma 90.00
loop_
_atom_site_label
_atom_site_type_symbol
_atom_site_fract_x
_atom_site_fract_y
_atom_site_fract_z
Tc1 Tc 0.000 0.000 0.000
Ag1 Ag 0.000 0.000 0.500
Sn1 Sn 0.500 0.500 0.500
# - ΔE to the lowest computed polymorph (meV per atom) = 0
# - crystal system = cubic

=====

(4)
# Ca2TaAs | the Alexandria database | GGA-PBE | relaxed
data_Ca2TaAs
_chemical_formula_sum 'Ca4 Ta2 As2'
_space_group_name_H-M_alt 'I -4 m 2'
_space_group_IT_number 119
_space_group_name_Hall 'I -4 -2'
_cell_length_a 4.405
_cell_length_b 4.405
_cell_length_c 9.834
_cell_angle_alpha 90.00
_cell_angle_beta 90.00
_cell_angle_gamma 90.00
loop_
_atom_site_label
_atom_site_type_symbol
_atom_site_fract_x
_atom_site_fract_y
_atom_site_fract_z
Ca1 Ca 0.000 0.000 0.000
Ca2 Ca 0.000 0.500 0.250
Ta1 Ta 0.000 0.500 0.750
As1 As 0.000 0.000 0.500
# - crystal system = tetragonal
# - VASP energy (eV per atom) = -4.82

=====

(5)
# MgBe2W | the Alexandria database | GGA-PBE | relaxed
data_MgBe2W
_chemical_formula_sum 'Mg2 Be4 W2'
_space_group_name_H-M_alt 'I m m m'
_space_group_IT_number 71
_space_group_name_Hall '-I 2 2'
_cell_length_a 2.816
_cell_length_b 4.554
_cell_length_c 8.515
_cell_angle_alpha 90.00
_cell_angle_beta 90.00
_cell_angle_gamma 90.00
loop_
_atom_site_label
_atom_site_type_symbol
_atom_site_fract_x
_atom_site_fract_y
_atom_site_fract_z
Mg1 Mg 0.000 0.000 0.000
Be1 Be 0.000 0.500 0.243
W1 W 0.000 0.000 0.500
# - crystal system = orthorhombic
# - VASP energy (eV per atom) = -4.87

=====

(6)
# Te2RuRhN | the Alexandria database | GGA-PBE | relaxed
data_Te2RuRhN
_chemical_formula_sum 'Te2 Ru1 Rh1 N1'
_space_group_name_H-M_alt 'P 4/m m m'
_space_group_IT_number 123
_space_group_name_Hall '-P 4 2'
_cell_length_a 5.334
_cell_length_b 5.334
_cell_length_c 3.583
_cell_angle_alpha 90.00
_cell_angle_beta 90.00
_cell_angle_gamma 90.00
loop_
_atom_site_label
_atom_site_type_symbol
_atom_site_fract_x
_atom_site_fract_y
_atom_site_fract_z
Te1 Te 0.000 0.500 0.000
Ru1 Ru 0.000 0.000 0.500
Rh1 Rh 0.500 0.500 0.000
N1 N 0.500 0.500 0.500
# - ΔE to the lowest computed polymorph (meV per atom) = 295
# - crystal system = tetragonal
# - E_form (uncorrected) (eV/atom) = 0.800

=====

(7)
# Li2ThPd | the Alexandria database | GGA-PBE | relaxed
data_Li2ThPd
_chemical_formula_sum 'Li6 Th3 Pd3'
_space_group_name_H-M_alt 'R -3 m'
_space_group_IT_number 166
_space_group_name_Hall '-R 3 2"'
_cell_length_a 3.1464
_cell_length_b 3.1464
_cell_length_c 31.1755
_cell_angle_alpha 90.00
_cell_angle_beta 90.00
_cell_angle_gamma 120.00
loop_
_atom_site_label
_atom_site_type_symbol
_atom_site_fract_x
_atom_site_fract_y
_atom_site_fract_z
Li1 Li 0.0000 0.0000 0.1063
Th1 Th 0.0000 0.0000 0.0000
Pd1 Pd 0.0000 0.0000 0.5000
# - crystal system = trigonal
# - VASP energy (eV per atom) = -4.02

=====

(8)
# TaNiW2 | the Alexandria database | GGA-PBE | relaxed
data_TaNiW2
_chemical_formula_sum 'Ta4 Ni4 W8'
_space_group_name_H-M_alt 'F m -3 m'
_space_group_IT_number 225
_space_group_name_Hall '-F 4 2 3'
_cell_length_a 6.283
_cell_length_b 6.283
_cell_length_c 6.283
_cell_angle_alpha 90.00
_cell_angle_beta 90.00
_cell_angle_gamma 90.00
loop_
_atom_site_label
_atom_site_type_symbol
_atom_site_fract_x
_atom_site_fract_y
_atom_site_fract_z
Ta1 Ta 0.000 0.000 0.000
Ni1 Ni 0.000 0.000 0.500
W1 W 0.250 0.250 0.250
# - ΔE to the lowest computed polymorph (meV per atom) = 287
# - crystal system = cubic

=====

(9)
# LiDyTm2 | the Alexandria database | GGA-PBE | relaxed
data_LiDyTm2
_chemical_formula_sum 'Li1 Dy1 Tm2'
_space_group_name_H-M_alt 'P 4/m m m'
_space_group_IT_number 123
_space_group_name_Hall '-P 4 2'
_cell_length_a 5.497
_cell_length_b 5.497
_cell_length_c 3.735
_cell_angle_alpha 90.00
_cell_angle_beta 90.00
_cell_angle_gamma 90.00
loop_
_atom_site_label
_atom_site_type_symbol
_atom_site_fract_x
_atom_site_fract_y
_atom_site_fract_z
Li1 Li 0.000 0.000 0.000
Dy1 Dy 0.500 0.500 0.000
Tm1 Tm 0.000 0.500 0.500
# - ΔE to the lowest computed polymorph (meV per atom) = 98
# - crystal system = tetragonal

=====

(10)
# Ni2PdI | the Alexandria database | GGA-PBE | relaxed
data_Ni2PdI
_chemical_formula_sum 'Ni8 Pd4 I4'
_space_group_name_H-M_alt 'F m -3 m'
_space_group_IT_number 225
_space_group_name_Hall '-F 4 2 3'
_cell_length_a 6.245
_cell_length_b 6.245
_cell_length_c 6.245
_cell_angle_alpha 90.00
_cell_angle_beta 90.00
_cell_angle_gamma 90.00
loop_
_atom_site_label
_atom_site_type_symbol
_atom_site_fract_x
_atom_site_fract_y
_atom_site_fract_z
Ni1 Ni 0.250 0.250 0.250
Pd1 Pd 0.000 0.000 0.000
I1 I 0.000 0.000 0.500
# - ΔE to the lowest computed polymorph (meV per atom) = 0
# - crystal system = cubic
# - E_form (uncorrected) (eV/atom) = 0.433

=====

(11)
# MgNiBi2Pb | the Alexandria database | GGA-PBE | relaxed
data_MgNiBi2Pb
_chemical_formula_sum 'Mg1 Ni1 Bi2 Pb1'
_space_group_name_H-M_alt 'P 4/m m m'
_space_group_IT_number 123
_space_group_name_Hall '-P 4 2'
_cell_length_a 5.296
_cell_length_b 5.296
_cell_length_c 5.066
_cell_angle_alpha 90.00
_cell_angle_beta 90.00
_cell_angle_gamma 90.00
loop_
_atom_site_label
_atom_site_type_symbol
_atom_site_fract_x
_atom_site_fract_y
_atom_site_fract_z
Mg1 Mg 0.000 0.000 0.000
Ni1 Ni 0.500 0.500 0.500
Bi1 Bi 0.000 0.500 0.500
Pb1 Pb 0.500 0.500 0.000
# - crystal system = tetragonal
# - VASP energy (eV per atom) = -3.57

=====

no.,calculated volume (Å³ per cell)
1,452.71
2,146.27
3,133.78
4,190.81
5,109.21
6,101.92
7,267.28
8,247.98
9,112.88
10,243.53
11,142.09